[1]
The following is a PBE calculation of NaMg3Be after structural relaxation, from the Alexandria database.

Summary:
V	117	Å³ per cell
calculated total energy	-1.7399	eV per atom
formation energy	225.9	meV/atom

Unit cell a=4.8929 b=4.8929 c=4.8929 alpha=90.00 beta=90.00 gamma=90.00
Space group Pm-3m (No. 221)
Unique sites:
Na 0.0000 0.0000 0.0000 (multiplicity 1)
Mg 0.0000 0.5000 0.5000 (multiplicity 3)
Be 0.5000 0.5000 0.5000 (multiplicity 1)


[2]
The following is a PBE calculation of HoErSi after structural relaxation, from the Alexandria database.

Summary:
V	314	Å³ per cell
calculated total energy	-5.3156	eV per atom
raw formation energy	-0.461	eV/atom

Unit cell a=6.7933 b=6.7933 c=6.7933 alpha=90.00 beta=90.00 gamma=90.00
Space group F-43m (No. 216)
Unique sites:
Ho 0.0000 0.0000 0.0000 (multiplicity 4)
Er 0.0000 0.0000 0.5000 (multiplicity 4)
Si 0.2500 0.2500 0.7500 (multiplicity 4)


[3]
The following is a PBE calculation of LaHoScHg after structural relaxation, from the Alexandria database.

Summary:
V	450	Å³ per cell
calculated total energy	-4.1225	eV per atom
formation energy	-87.8	meV/atom

Unit cell a=7.6610 b=7.6610 c=7.6610 alpha=90.00 beta=90.00 gamma=90.00
Space group F-43m (No. 216)
Unique sites:
La 0.0000 0.0000 0.0000 (multiplicity 4)
Ho 0.0000 0.0000 0.5000 (multiplicity 4)
Sc 0.2500 0.2500 0.2500 (multiplicity 4)
Hg 0.2500 0.2500 0.7500 (multiplicity 4)


[4]
The following is a PBE calculation of Ba4LiCa after structural relaxation, from the Alexandria database.

Summary:
V	320	Å³ per cell
calculated total energy	-1.9014	eV per atom
formation energy	33.0	meV/atom

Unit cell a=4.4405 b=4.4405 c=16.2344 alpha=90.00 beta=90.00 gamma=90.00
Space group P4/mmm (No. 123)
Unique sites:
Ba 0.0000 0.0000 0.1310 (multiplicity 2)
Ba 0.5000 0.5000 0.3330 (multiplicity 2)
Li 0.5000 0.5000 0.0000 (multiplicity 1)
Ca 0.0000 0.0000 0.5000 (multiplicity 1)


> Among the records above, which one has the highest calculated total energy?

NaMg3Be